# 1
Compound: Ag2Au3
Source: Alexandria via LeMat-Bulk
Functional: GGA-PBEsol
Structure: relaxed

```
5
Lattice="-1.6043 -0.6012 2.2800 -1.0458 -2.2901 -1.3398 8.9399 -4.2828 3.3777" Properties=species:S:1:pos:R:3 pbc="T T T"
Au -1.3251 -1.4457 0.4701
Au 4.5812 -3.4463 2.3149
Au 1.7085 -3.7278 2.0030
Ag 1.5202 -1.1436 0.7682
Ag 4.7695 -6.0305 3.5497
```

Calculated values
The polymorph energy (0 for the lowest one) comes out at 0 meV per atom. The energy of formation from the pure elements comes out at -0.0493 eV per atom. Its volume is 83.6 Å³/f.u.

---

# 2
Compound: Ag3Au
Source: Alexandria via LeMat-Bulk
Functional: GGA-PBEsol
Structure: relaxed

```
4
Lattice="2.8590 0.0000 0.0000 -1.4295 2.4759 0.0000 0.0000 0.0000 9.4291" Properties=species:S:1:pos:R:3 pbc="T T T"
Au 0.0000 0.0000 4.7146
Ag 0.0000 1.6506 2.3381
Ag 0.0000 1.6506 7.0910
Ag 0.0000 0.0000 0.0000
```

Calculated values
The energy of formation from the pure elements comes out at -0.0144 eV per atom. Its volume is 66.7 Å³/f.u.

---

# 3
Compound: Ag3Au
Source: Alexandria via LeMat-Bulk
Functional: GGA-PBEsol
Structure: relaxed

```
4
Lattice="2.8437 0.0000 0.0000 0.0000 4.9475 0.0000 -1.4218 -2.4738 4.7323" Properties=species:S:1:pos:R:3 pbc="T T T"
Au 0.0000 3.3059 0.0000
Ag 0.0000 -0.0031 2.3742
Ag 1.4218 2.4707 2.3581
Ag 1.4218 0.8231 0.0000
```

Calculated values
The energy of formation from the pure elements comes out at -0.0294 eV per atom. Its volume is 66.6 Å³/f.u.

---

# 4
Compound: AgAu4
Source: Alexandria via LeMat-Bulk
Functional: GGA-PBEsol
Structure: relaxed

```
5
Lattice="-0.5195 0.4324 2.7967 -1.4196 -1.9856 1.5233 9.5151 -5.7179 4.1314" Properties=species:S:1:pos:R:3 pbc="T T T"
Au 0.7170 -2.0639 3.4123
Au 3.4153 -2.5963 2.5158
Au 4.1608 -4.6748 5.9356
Au 6.8590 -5.2071 5.0391
Ag 0.0000 0.0000 0.0000
```

Calculated values
The polymorph energy (0 for the lowest one) comes out at 13 meV per atom. The energy of formation from the pure elements comes out at -0.0198 eV per atom. Its volume is 84.1 Å³/f.u.

---

# 5
Compound: BaAg2Au
Source: Alexandria via LeMat-Bulk
Functional: GGA-PBEsol
Structure: relaxed

```
4
Lattice="4.6933 0.0000 0.0000 2.3467 4.0645 0.0000 2.3467 1.3548 5.4085" Properties=species:S:1:pos:R:3 pbc="T T T"
Au 4.6933 2.7097 1.9066
Ba 7.0400 4.0645 4.0252
Ag 7.0400 4.0645 0.7946
Ag 2.3466 1.3548 1.3236
```

Calculated values
The polymorph energy (0 for the lowest one) comes out at 0 meV per atom. The energy of formation from the pure elements comes out at -0.3035 eV per atom. Its volume is 103.2 Å³/f.u.

---

# 6
Compound: Ba2AgAu
Source: Alexandria via LeMat-Bulk
Functional: GGA-PBEsol
Structure: relaxed

```
4
Lattice="-2.2891 3.2160 -0.1288 -3.8892 -2.8823 -2.8475 -2.4129 -1.5236 4.8379" Properties=species:S:1:pos:R:3 pbc="T T T"
Au -3.3899 -0.0231 -0.8851
Ba -0.3019 -0.1906 0.6053
Ba -3.4516 -2.3928 1.5979
Ag -2.6541 0.6548 2.9623
```

Calculated values
The energy of formation from the pure elements comes out at -0.3951 eV per atom. Its volume is 124.6 Å³/f.u.

---

# 7
Compound: BaAgAu2
Source: Alexandria via LeMat-Bulk
Functional: GGA-PBEsol
Structure: relaxed

```
4
Lattice="-1.8260 3.0389 -0.8319 -1.7958 -0.2138 3.1608 4.9559 3.8194 3.0741" Properties=species:S:1:pos:R:3 pbc="T T T"
Au 4.9017 3.7777 3.0405
Au -0.8049 2.1878 1.7885
Ba 2.4260 1.8697 1.5049
Ag 2.2452 4.5385 3.6804
```

Calculated values
The energy of formation from the pure elements comes out at -0.1817 eV per atom. Its volume is 92.4 Å³/f.u.

---

# 8
Compound: BaAgAu2
Source: Alexandria via LeMat-Bulk
Functional: GGA-PBEsol
Structure: relaxed

```
4
Lattice="3.9912 0.0000 0.0000 0.0000 4.8725 0.0274 0.0000 -0.0252 4.8725" Properties=species:S:1:pos:R:3 pbc="T T T"
Au 0.0000 2.4362 0.0137
Au 0.0000 -0.0126 2.4363
Ba 1.9956 0.0000 0.0000
Ag 1.9956 2.4237 2.4500
```

Calculated values
The energy of formation from the pure elements comes out at -0.1455 eV per atom. Its volume is 94.8 Å³/f.u.

---

# 9
Compound: Ba2AgAu
Source: Alexandria via LeMat-Bulk
Functional: GGA-PBEsol
Structure: relaxed

```
4
Lattice="4.6635 0.0000 0.0000 0.0000 4.6635 0.0000 -2.3318 -2.3318 5.6250" Properties=species:S:1:pos:R:3 pbc="T T T"
Au 0.0000 2.3318 2.8125
Ba 0.0000 0.0000 0.0000
Ba 2.3318 0.0000 2.8125
Ag 2.3318 2.3318 0.0000
```

Calculated values
The energy of formation from the pure elements comes out at -0.2302 eV per atom. Its volume is 122.3 Å³/f.u.

---

# 10
Compound: Ba2AgAu
Source: Alexandria via LeMat-Bulk
Functional: GGA-PBEsol
Structure: relaxed

```
4
Lattice="-3.5669 -1.3923 -0.5976 0.9791 -0.9514 -3.6270 2.6949 -8.1318 2.8606" Properties=species:S:1:pos:R:3 pbc="T T T"
Au 0.5830 -6.8353 -0.1200
Ba 2.4406 -7.3644 2.5907
Ba -0.3794 -3.9314 -1.1416
Ag 1.5053 -4.5423 1.5979
```

Calculated values
The energy of formation from the pure elements comes out at -0.2313 eV per atom. Its volume is 135.6 Å³/f.u.

---

# 11
Compound: BaAgAu
Source: Alexandria via LeMat-Bulk
Functional: GGA-PBEsol
Structure: relaxed

```
3
Lattice="4.2063 0.0000 0.0000 0.0000 4.7770 0.0000 0.0000 -2.3885 4.1370" Properties=species:S:1:pos:R:3 pbc="T T T"
Au 0.0000 0.0000 2.7580
Ba 2.1031 2.3885 1.3790
Ag 0.0000 0.0000 0.0000
```

Calculated values
The polymorph energy (0 for the lowest one) comes out at 0 meV per atom. The energy of formation from the pure elements comes out at -0.4626 eV per atom. Its volume is 83.1 Å³/f.u.

---

# 12
Compound: Ba2AgAu
Source: Alexandria via LeMat-Bulk
Functional: GGA-PBEsol
Structure: relaxed

```
4
Lattice="-0.4719 1.7227 -4.1827 -4.7630 -0.6432 0.2724 -0.3801 4.6995 4.4512" Properties=species:S:1:pos:R:3 pbc="T T T"
Au -2.8572 2.7040 -1.0367
Ba -3.2157 5.9408 0.3368
Ba -0.3235 2.9204 1.2393
Ag -0.3064 1.4975 -1.8214
```

Calculated values
The energy of formation from the pure elements comes out at -0.4355 eV per atom. Its volume is 132.9 Å³/f.u.

---

# 13
Compound: BaAgAu2
Source: Alexandria via LeMat-Bulk
Functional: GGA-PBEsol
Structure: relaxed

```
4
Lattice="5.1106 0.0000 0.0000 2.5553 4.4259 0.0000 2.5553 1.4753 4.1728" Properties=species:S:1:pos:R:3 pbc="T T T"
Au 0.0000 0.0000 0.0000
Au 7.6660 4.4259 3.1296
Ba 2.5553 1.4753 1.0432
Ag 5.1106 2.9506 2.0864
```

Calculated values
The energy of formation from the pure elements comes out at -0.1525 eV per atom. Its volume is 94.4 Å³/f.u.

---

# 14
Compound: BaAgAu
Source: Alexandria via LeMat-Bulk
Functional: GGA-PBEsol
Structure: relaxed

```
3
Lattice="-4.2338 1.5205 -2.2306 -4.4528 -1.4494 1.8123 -2.9852 3.3293 2.2840" Properties=species:S:1:pos:R:3 pbc="T T T"
Au 0.0000 0.0000 0.0000
Ba -5.8359 1.7002 0.9329
Ag -2.9180 0.8501 0.4664
```

Calculated values
The polymorph energy (0 for the lowest one) comes out at 260 meV per atom. The energy of formation from the pure elements comes out at -0.2022 eV per atom. Its volume is 89.5 Å³/f.u.